## Nd4Sm2Y2Mg (PBE)

Data for a geometry-optimized Nd4Sm2Y2Mg structure.

Computed properties:
Uncorrected energy, eV/atom: -4.650
Total magnetic moment, μB/atom: 0.0000
Energy relative to the elements, meV/atom: 131

```
data_Nd4Sm2Y2Mg
_chemical_formula_sum 'Nd4 Sm2 Y2 Mg1'
_space_group_name_H-M_alt 'P -1'
_space_group_IT_number 2
_cell_length_a 6.553
_cell_length_b 7.092
_cell_length_c 7.497
_cell_angle_alpha 88.44
_cell_angle_beta 76.15
_cell_angle_gamma 64.27
loop_
_space_group_symop_operation_xyz
'x,y,z'
'-x,-y,-z'
loop_
_atom_site_label
_atom_site_type_symbol
_atom_site_fract_x
_atom_site_fract_y
_atom_site_fract_z
Nd1 Nd 0.007 0.327 0.336
Nd2 Nd 0.471 0.612 0.807
Sm1 Sm 0.416 0.838 0.407
Y1 Y 0.036 0.155 0.814
Mg1 Mg 0.500 0.000 0.000
```